Entry 1:
Na3Tl3PbCl8 | GGA-PBE | relaxed

a b c (Å): 14.6384 8.4421 8.8911
angles (deg): 90.00 123.34 90.00
Last column: nearest neighbours and their distance in Å.
Space group C2/m (No. 12)
Unique sites:
Na  0.0000  0.0000  0.0000  6 Cl 2.90-2.91
Na  0.2500  0.2500  0.0000  6 Cl 2.90
Tl  0.0000  0.5000  0.5000  6 Cl 3.24-3.25
Tl  0.2500  0.2500  0.5000  6 Cl 3.24-3.25
Pb  0.0000  0.5000  0.0000  6 Cl 2.91
Cl  0.0130  0.2491  0.7885  2 Na 2.90, 1 Pb 2.91
Cl  0.2377  0.0000  0.2125  3 Na 2.90-2.91, 3 Tl 3.24
Cl  0.2378  0.5000  0.2117  2 Na 2.90, 1 Pb 2.91

Formation energy without anion corrections ... -31.114 kcal/mol of atoms
Total moment ... 0.0 μB per formula unit
Final energy ... -3.318 eV/atom
Crystal system ... monoclinic



Entry 2:
Na2UPbCl8 | GGA-PBE | relaxed

a b c (Å): 6.5116 6.6771 8.6587
angles (deg): 89.92 89.90 87.27
Last column: nearest neighbours and their distance in Å.
Space group P-1 (No. 2)
Unique sites:
Na  0.0010  0.0018  0.2385  6 Cl 2.72-3.01
U  0.5000  0.5000  0.5000  6 Cl 2.62-2.65
Pb  0.5000  0.5000  0.0000  6 Cl 2.79-3.01
Cl  0.2114  0.8222  0.0002  2 Na 2.72, 1 Pb 2.79
Cl  0.2289  0.8035  0.5000  1 U 2.62
Cl  0.2921  0.3291  0.7228  1 U 2.64
Cl  0.2935  0.3277  0.2765  1 U 2.65

Formation energy without anion corrections ... -36.729 kcal/mol of atoms
Total moment ... 2.0 μB per formula unit
Final energy ... -4.293 eV/atom
Crystal system ... triclinic



Entry 3:
Na2VPbCl8 | GGA-PBE | relaxed

a b c (Å): 6.2407 8.2543 6.4775
angles (deg): 90.00 91.35 90.00
Last column: nearest neighbours and their distance in Å.
Space group P2/m (No. 10)
Unique sites:
Na  0.0000  0.2466  0.0000  6 Cl 2.70-2.96
V  0.5000  0.0000  0.5000  6 Cl 2.32-2.35
Pb  0.5000  0.5000  0.5000  6 Cl 2.76-2.96
Cl  0.2187  0.5000  0.1642  2 Na 2.70, 1 Pb 2.76
Cl  0.2701  0.0000  0.2135  1 V 2.32
Cl  0.2916  0.2023  0.6524  1 V 2.35

Formation energy without anion corrections ... -30.102 kcal/mol of atoms
Total moment ... 1.0 μB per formula unit
Final energy ... -3.825 eV/atom
Crystal system ... monoclinic



Entry 4:
Na2VPbCl6 | GGA-PBE | relaxed

a b c (Å): 6.9528 6.9528 18.6000
angles (deg): 90.00 90.00 120.00
Last column: nearest neighbours and their distance in Å.
Space group R3 (No. 146, hexagonal axes)
Unique sites:
Na  0.0000  0.0000  0.0000  6 Cl 2.76-2.90
Na  0.0000  0.0000  0.4893  6 Cl 2.80-2.94
V  0.0000  0.0000  0.6894  6 Cl 2.51
Pb  0.0000  0.0000  0.1978  6 Cl 2.86-2.99
Cl  0.0169  0.3765  0.4287  1 V 2.51, 1 Na 2.80
Cl  0.0507  0.6687  0.2729  1 V 2.51, 1 Na 2.76

Formation energy without anion corrections ... -31.881 kcal/mol of atoms
Total moment ... 3.0 μB per formula unit
Final energy ... -4.037 eV/atom
Crystal system ... trigonal



Entry 5:
NaVPbCl6 | GGA-PBE | relaxed

a b c (Å): 6.7471 6.7471 6.0831
angles (deg): 90.00 90.00 120.00
Last column: nearest neighbours and their distance in Å.
Space group P312 (No. 149)
Unique sites:
Na  0.0000  0.0000  0.0000  6 Cl 2.76
V  0.3333  0.6667  0.0000  6 Cl 2.40
Pb  0.6667  0.3333  0.5000  6 Cl 2.94
Cl  0.0458  0.3733  0.2285  1 V 2.40

Formation energy without anion corrections ... -29.914 kcal/mol of atoms
Total moment ... 2.0 μB per formula unit
Final energy ... -4.100 eV/atom
Crystal system ... trigonal



Entry 6:
NaYPbCl6 | GGA-PBE | relaxed

a b c (Å): 7.0294 7.0294 12.4986
angles (deg): 90.00 90.00 120.00
Last column: nearest neighbours and their distance in Å.
Space group P-31c (No. 163)
Unique sites:
Na  0.3333  0.6667  0.2500  6 Cl 2.82
Y  0.3333  0.6667  0.7500  6 Cl 2.66
Pb  0.0000  0.0000  0.0000  6 Cl 2.94
Cl  0.0179  0.3568  0.6300  1 Y 2.66, 1 Na 2.82, 1 Pb 2.94

Formation energy without anion corrections ... -41.577 kcal/mol of atoms
Total moment ... 0.0 μB per formula unit
Final energy ... -4.311 eV/atom
Crystal system ... trigonal



Entry 7:
Na2YPbCl | GGA-PBE | relaxed

a b c (Å): 6.8793 6.8793 5.6452
angles (deg): 90.00 90.00 90.00
Last column: nearest neighbours and their distance in Å.
Space group P4/mmm (No. 123)
Unique sites:
Na  0.0000  0.5000  0.0000  2 Y 3.44
Y  0.0000  0.0000  0.0000  2 Pb 2.82
Pb  0.0000  0.0000  0.5000  2 Y 2.82
Cl  0.5000  0.5000  0.5000  8 Na 4.45, 4 Pb 4.86

Formation energy without anion corrections ... 9.354 kcal/mol of atoms
Total moment ... 0.8 μB per formula unit
Final energy ... -2.526 eV/atom
Crystal system ... tetragonal



Entry 8:
NaYPb2Cl8 | GGA-PBE | relaxed

a b c (Å): 6.4907 8.6062 6.7444
angles (deg): 90.00 90.39 90.00
Last column: nearest neighbours and their distance in Å.
Space group P2/m (No. 10)
Unique sites:
Na  0.0000  0.0000  0.0000  6 Cl 2.86-2.91
Y  0.0000  0.5000  0.0000  6 Cl 2.67
Pb  0.5000  0.2445  0.5000  6 Cl 2.82-3.02
Cl  0.2206  0.2687  0.1564  1 Y 2.67, 1 Na 2.91, 1 Pb 2.94
Cl  0.2439  0.5000  0.6827  1 Y 2.67
Cl  0.2718  0.0000  0.6682  2 Pb 2.82, 1 Na 2.86

Formation energy without anion corrections ... -37.703 kcal/mol of atoms
Total moment ... 0.0 μB per formula unit
Final energy ... -4.133 eV/atom
Crystal system ... monoclinic



Entry 9:
NaZnPbCl5 | GGA-PBE | relaxed

a b c (Å): 8.7921 11.7486 9.3717
angles (deg): 90.00 113.28 90.00
Last column: nearest neighbours and their distance in Å.
Space group C2/c (No. 15)
Unique sites:
Na  0.0000  0.0000  0.0000  6 Cl 2.63-2.90
Zn  0.0000  0.3331  0.2500  4 Cl 2.28-2.32
Pb  0.0000  0.3301  0.7500  1 Cl 2.68
Cl  0.0000  0.1023  0.7500  2 Na 2.63, 1 Pb 2.68
Cl  0.1328  0.2199  0.1323  1 Zn 2.32
Cl  0.1660  0.4489  0.4443  1 Zn 2.28

Formation energy without anion corrections ... -29.317 kcal/mol of atoms
Total moment ... 0.0 μB per formula unit
Final energy ... -3.213 eV/atom
Crystal system ... monoclinic



Entry 10:
Na2ZrPbCl8 | GGA-PBE | relaxed

a b c (Å): 6.4323 8.4489 6.6313
angles (deg): 90.00 92.76 90.00
Last column: nearest neighbours and their distance in Å.
Space group P2/m (No. 10)
Unique sites:
Na  0.0000  0.2457  0.0000  6 Cl 2.71-3.01
Zr  0.5000  0.5000  0.5000  6 Cl 2.49-2.50
Pb  0.5000  0.0000  0.5000  6 Cl 2.78-3.00
Cl  0.2124  0.0000  0.1741  2 Na 2.71, 1 Pb 2.78
Cl  0.2426  0.5000  0.2067  1 Zr 2.49
Cl  0.2954  0.2882  0.6649  1 Zr 2.50

Formation energy without anion corrections ... -37.311 kcal/mol of atoms
Total moment ... 0.0 μB per formula unit
Final energy ... -4.090 eV/atom
Crystal system ... monoclinic



Entry 11:
Na6PdCl8 | GGA-PBE | relaxed

a b c (Å): 11.3030 11.3030 11.3030
angles (deg): 90.00 90.00 90.00
Last column: nearest neighbours and their distance in Å.
Space group Fm-3m (No. 225)
Unique sites:
Na  0.0000  0.2500  0.2500  6 Cl 2.83-2.84
Pd  0.0000  0.0000  0.0000  6 Cl 2.58
Cl  0.0000  0.0000  0.2280  1 Pd 2.58, 4 Na 2.84
Cl  0.2500  0.2500  0.2500  6 Na 2.83

Formation energy without anion corrections ... -34.787 kcal/mol of atoms
Total moment ... 2.0 μB per formula unit
Final energy ... -3.367 eV/atom
Crystal system ... cubic



Entry 12:
NaPdCl4 | GGA-PBE | relaxed

a b c (Å): 11.3013 8.0531 7.4652
angles (deg): 90.00 90.44 90.00
Last column: nearest neighbours and their distance in Å.
Space group C2/c (No. 15)
Unique sites:
Na  0.2500  0.2500  0.0000  6 Cl 2.78-2.85
Pd  0.0000  0.0009  0.2500  6 Cl 2.33-2.51
Cl  0.0005  0.2082  0.5007  2 Pd 2.51
Cl  0.2063  0.0013  0.2520  1 Pd 2.33

Formation energy without anion corrections ... -19.276 kcal/mol of atoms
Total moment ... 1.0 μB per formula unit
Final energy ... -3.152 eV/atom
Crystal system ... monoclinic